No. 1
VASP calculation (GGA-PBE) on KGdSb2 after structural relaxation.

Summary:
**D(E_F)**: 3.39 states/eV/f.u.
**M_tot**: 1.675 μB per atom
**Final energy**: -6.36 eV per atom
**Uncorrected formation energy**: -502 meV per atom

Cell and atoms, written as CIF:
```
data_KGdSb2
_symmetry_space_group_name_H-M 'P 1'
_symmetry_Int_Tables_number 1
_symmetry_space_group_name_Hall 'P 1'
_cell_length_a 4.781
_cell_length_b 4.781
_cell_length_c 22.793
_cell_angle_alpha 90.00
_cell_angle_beta 90.00
_cell_angle_gamma 120.00
loop_
_atom_site_label
_atom_site_type_symbol
_atom_site_fract_x
_atom_site_fract_y
_atom_site_fract_z
K1 K 0.000 0.000 0.000
K2 K 0.333 0.667 0.667
K3 K 0.667 0.333 0.333
Gd1 Gd 0.000 0.000 0.500
Gd2 Gd 0.333 0.667 0.167
Gd3 Gd 0.667 0.333 0.833
Sb1 Sb 0.000 0.000 0.229
Sb2 Sb 0.000 0.000 0.771
Sb3 Sb 0.333 0.667 0.438
Sb4 Sb 0.333 0.667 0.895
Sb5 Sb 0.667 0.333 0.105
Sb6 Sb 0.667 0.333 0.562
```


No. 2
VASP calculation (GGA-PBE) on Zr4As3H2 after structural relaxation.

Summary:
**D(E_F)**: 3.18 states/eV/f.u.
**M_tot**: 0.000 μB per atom
**Final energy**: -6.96 eV per atom

Cell and atoms, written as CIF:
```
data_Zr4As3H2
_symmetry_space_group_name_H-M 'P 1'
_symmetry_Int_Tables_number 1
_symmetry_space_group_name_Hall 'P 1'
_cell_length_a 6.471
_cell_length_b 6.471
_cell_length_c 7.824
_cell_angle_alpha 121.13
_cell_angle_beta 121.13
_cell_angle_gamma 32.35
loop_
_atom_site_label
_atom_site_type_symbol
_atom_site_fract_x
_atom_site_fract_y
_atom_site_fract_z
Zr1 Zr 0.089 0.089 0.404
Zr2 Zr 0.324 0.324 0.909
Zr3 Zr 0.676 0.676 0.091
Zr4 Zr 0.911 0.911 0.596
As1 As 0.000 0.000 0.000
As2 As 0.377 0.377 0.300
As3 As 0.623 0.623 0.700
H1 H 0.303 0.303 0.619
H2 H 0.697 0.697 0.381
```


No. 3
VASP calculation (GGA-PBE) on La3Pm6Er2Tm after structural relaxation.

Summary:
**D(E_F)**: 18.55 states/eV/f.u.
**M_tot**: 0.000 μB per atom
**Final energy**: -4.72 eV per atom

Cell and atoms, written as CIF:
```
data_La3Pm6Er2Tm
_symmetry_space_group_name_H-M 'P 1'
_symmetry_Int_Tables_number 1
_symmetry_space_group_name_Hall 'P 1'
_cell_length_a 6.310
_cell_length_b 6.310
_cell_length_c 12.045
_cell_angle_alpha 95.02
_cell_angle_beta 95.02
_cell_angle_gamma 120.05
loop_
_atom_site_label
_atom_site_type_symbol
_atom_site_fract_x
_atom_site_fract_y
_atom_site_fract_z
La1 La 0.000 0.000 0.000
La2 La 0.333 0.667 0.000
La3 La 0.667 0.333 0.000
Pm1 Pm 0.086 0.419 0.257
Pm2 Pm 0.248 0.248 0.743
Pm3 Pm 0.419 0.086 0.257
Pm4 Pm 0.581 0.914 0.743
Pm5 Pm 0.752 0.752 0.257
Pm6 Pm 0.914 0.581 0.743
Er1 Er 0.167 0.833 0.500
Er2 Er 0.833 0.167 0.500
Tm1 Tm 0.500 0.500 0.500
```


No. 4
VASP calculation (GGA-PBE) on La2Y3Tm after structural relaxation.

Summary:
**D(E_F)**: 9.97 states/eV/f.u.
**M_tot**: 0.000 μB per atom
**Final energy**: -5.55 eV per atom

Cell and atoms, written as CIF:
```
data_La2Y3Tm
_symmetry_space_group_name_H-M 'P 1'
_symmetry_Int_Tables_number 1
_symmetry_space_group_name_Hall 'P 1'
_cell_length_a 6.738
_cell_length_b 6.738
_cell_length_c 9.088
_cell_angle_alpha 97.38
_cell_angle_beta 97.38
_cell_angle_gamma 95.58
loop_
_atom_site_label
_atom_site_type_symbol
_atom_site_fract_x
_atom_site_fract_y
_atom_site_fract_z
La1 La 0.124 0.626 0.875
La2 La 0.374 0.876 0.625
La3 La 0.626 0.124 0.375
La4 La 0.876 0.374 0.125
Y1 Y 0.166 0.331 0.500
Y2 Y 0.331 0.166 0.000
Y3 Y 0.416 0.584 0.250
Y4 Y 0.584 0.416 0.750
Y5 Y 0.669 0.834 0.000
Y6 Y 0.834 0.669 0.500
Tm1 Tm 0.083 0.917 0.250
Tm2 Tm 0.917 0.083 0.750
```